# AlRu2O6 | Alexandria | GGA-PBE | optimized geometry
# energy relative to the elements, uncorrected: -1466 meV per atom
# theoretical density: 5.948 Mg/m³
# calculated total energy: -195.72 eV per cell
data_AlRu2O6
_chemical_formula_sum 'Al3 Ru6 O18'
_cell_length_a 8.5171
_cell_length_b 8.5171
_cell_length_c 4.3347
_cell_angle_alpha 90.00
_cell_angle_beta 90.00
_cell_angle_gamma 120.00
_symmetry_space_group_name_H-M 'P 3 2 1'
_symmetry_Int_Tables_number 150
loop_
_symmetry_equiv_pos_as_xyz
'x,y,z'
'-y,x-y,z'
'-x+y,-x,z'
'y,x,-z'
'x-y,-y,-z'
'-x,-x+y,-z'
loop_
_atom_site_label
_atom_site_type_symbol
_atom_site_fract_x
_atom_site_fract_y
_atom_site_fract_z
Al1 Al 0.0000 0.0000 0.0000
Al2 Al 0.3333 0.6667 0.4950
Ru1 Ru 0.0000 0.3452 0.0000
Ru2 Ru 0.0000 0.6794 0.5000
O1 O 0.1058 0.2170 0.2294
O2 O 0.1175 0.5683 0.2590
O3 O 0.2163 0.4496 0.7296

=====

# AlRu3O | Alexandria | GGA-PBE | optimized geometry
# energy relative to the elements, uncorrected: 11 meV per atom
# theoretical density: 8.700 Mg/m³
# calculated total energy: -36.47 eV per cell
# distance to the lowest polymorph of the same formula: 0 meV/atom
data_AlRu3O
_chemical_formula_sum 'Al1 Ru3 O1'
_cell_length_a 4.0427
_cell_length_b 4.0427
_cell_length_c 4.0427
_cell_angle_alpha 90.00
_cell_angle_beta 90.00
_cell_angle_gamma 90.00
_symmetry_space_group_name_H-M 'P m -3 m'
_symmetry_Int_Tables_number 221
_symmetry_space_group_name_Hall '-P 4 2 3'
loop_
_atom_site_label
_atom_site_type_symbol
_atom_site_fract_x
_atom_site_fract_y
_atom_site_fract_z
Al1 Al 0.0000 0.0000 0.0000
Ru1 Ru 0.0000 0.5000 0.5000
O1 O 0.5000 0.5000 0.5000

=====

# Al3RuO | Alexandria | GGA-PBE | optimized geometry
# energy relative to the elements, uncorrected: 239 meV per atom
# theoretical density: 3.305 Mg/m³
# calculated total energy: -24.27 eV per cell
# distance to the lowest polymorph of the same formula: 951 meV/atom
data_Al3RuO
_chemical_formula_sum 'Al3 Ru1 O1'
_cell_length_a 4.6339
_cell_length_b 4.6339
_cell_length_c 4.6339
_cell_angle_alpha 90.00
_cell_angle_beta 90.00
_cell_angle_gamma 90.00
_symmetry_space_group_name_H-M 'P m -3 m'
_symmetry_Int_Tables_number 221
_symmetry_space_group_name_Hall '-P 4 2 3'
loop_
_atom_site_label
_atom_site_type_symbol
_atom_site_fract_x
_atom_site_fract_y
_atom_site_fract_z
Al1 Al 0.0000 0.0000 0.5000
Ru1 Ru 0.0000 0.0000 0.0000
O1 O 0.5000 0.5000 0.5000

=====

# Al2Ru2O | Alexandria | GGA-PBE | optimized geometry
# energy relative to the elements, uncorrected: 231 meV per atom
# theoretical density: 5.793 Mg/m³
# calculated total energy: -59.68 eV per cell
# distance to the lowest polymorph of the same formula: 522 meV/atom
data_Al2Ru2O
_chemical_formula_sum 'Al4 Ru4 O2'
_cell_length_a 3.4280
_cell_length_b 3.4280
_cell_length_c 13.2740
_cell_angle_alpha 90.00
_cell_angle_beta 90.00
_cell_angle_gamma 90.00
_symmetry_space_group_name_H-M 'I 4/m m m'
_symmetry_Int_Tables_number 139
_symmetry_space_group_name_Hall '-I 4 2'
loop_
_atom_site_label
_atom_site_type_symbol
_atom_site_fract_x
_atom_site_fract_y
_atom_site_fract_z
Al1 Al 0.0000 0.0000 0.0944
Ru1 Ru 0.0000 0.5000 0.2500
O1 O 0.0000 0.0000 0.5000

=====

# Al3RuO | Alexandria | GGA-PBE | optimized geometry
# energy relative to the elements, uncorrected: -712 meV per atom
# theoretical density: 5.194 Mg/m³
# calculated total energy: -29.02 eV per cell
# distance to the lowest polymorph of the same formula: 0 meV/atom
data_Al3RuO
_chemical_formula_sum 'Al3 Ru1 O1'
_cell_length_a 3.9854
_cell_length_b 3.9854
_cell_length_c 3.9854
_cell_angle_alpha 90.00
_cell_angle_beta 90.00
_cell_angle_gamma 90.00
_symmetry_space_group_name_H-M 'P m -3 m'
_symmetry_Int_Tables_number 221
_symmetry_space_group_name_Hall '-P 4 2 3'
loop_
_atom_site_label
_atom_site_type_symbol
_atom_site_fract_x
_atom_site_fract_y
_atom_site_fract_z
Al1 Al 0.0000 0.0000 0.5000
Ru1 Ru 0.5000 0.5000 0.5000
O1 O 0.0000 0.0000 0.0000

=====

# SmAlRuO6 | Alexandria | GGA-PBE | optimized geometry
# energy relative to the elements, uncorrected: -1967 meV per atom
# theoretical density: 5.632 Mg/m³
# calculated total energy: -130.39 eV per cell
data_SmAlRuO6
_chemical_formula_sum 'Sm2 Al2 Ru2 O12'
_cell_length_a 4.8164
_cell_length_b 4.8164
_cell_length_c 9.5169
_cell_angle_alpha 90.00
_cell_angle_beta 90.00
_cell_angle_gamma 90.00
_symmetry_space_group_name_H-M 'P 42 n m'
_symmetry_Int_Tables_number 102
loop_
_symmetry_equiv_pos_as_xyz
'x,y,z'
'-y+1/2,x+1/2,z+1/2'
'-x,-y,z'
'y+1/2,-x+1/2,z+1/2'
'-x+1/2,y+1/2,z+1/2'
'y,x,z'
'x+1/2,-y+1/2,z+1/2'
'-y,-x,z'
loop_
_atom_site_label
_atom_site_type_symbol
_atom_site_fract_x
_atom_site_fract_y
_atom_site_fract_z
Sm1 Sm 0.0000 0.0000 0.0000
Al1 Al 0.0000 0.0000 0.3604
Ru1 Ru 0.0000 0.0000 0.6783
O1 O 0.1731 0.1731 0.5198
O2 O 0.2319 0.2319 0.8342
O3 O 0.2350 0.2350 0.2091

=====

# AlSn2RuO | Alexandria | GGA-PBE | optimized geometry
# energy relative to the elements, uncorrected: 143 meV per atom
# theoretical density: 5.234 Mg/m³
# calculated total energy: -25.27 eV per cell
data_AlSn2RuO
_chemical_formula_sum 'Al1 Sn2 Ru1 O1'
_cell_length_a 5.0790
_cell_length_b 5.0790
_cell_length_c 4.6912
_cell_angle_alpha 90.00
_cell_angle_beta 90.00
_cell_angle_gamma 90.00
_symmetry_space_group_name_H-M 'P 4/m m m'
_symmetry_Int_Tables_number 123
_symmetry_space_group_name_Hall '-P 4 2'
loop_
_atom_site_label
_atom_site_type_symbol
_atom_site_fract_x
_atom_site_fract_y
_atom_site_fract_z
Al1 Al 0.0000 0.0000 0.0000
Sn1 Sn 0.0000 0.5000 0.5000
Ru1 Ru 0.0000 0.0000 0.5000
O1 O 0.5000 0.5000 0.0000

=====

# SrAl2RuO6 | Alexandria | GGA-PBE | optimized geometry
# energy relative to the elements, uncorrected: -2188 meV per atom
# theoretical density: 4.135 Mg/m³
# calculated total energy: -280.28 eV per cell
data_SrAl2RuO6
_chemical_formula_sum 'Sr4 Al8 Ru4 O24'
_cell_length_a 8.6190
_cell_length_b 11.1422
_cell_length_c 6.3273
_cell_angle_alpha 90.00
_cell_angle_beta 116.45
_cell_angle_gamma 90.00
_symmetry_space_group_name_H-M 'C 1 2/c 1'
_symmetry_Int_Tables_number 15
loop_
_symmetry_equiv_pos_as_xyz
'x,y,z'
'-x,-y,-z'
'-x,y,-z+1/2'
'x,-y,z+1/2'
'x+1/2,y+1/2,z'
'-x+1/2,-y+1/2,-z'
'-x+1/2,y+1/2,-z+1/2'
'x+1/2,-y+1/2,z+1/2'
loop_
_atom_site_label
_atom_site_type_symbol
_atom_site_fract_x
_atom_site_fract_y
_atom_site_fract_z
Sr1 Sr 0.0000 0.1000 0.2500
Al1 Al 0.1286 0.4273 0.1706
Ru1 Ru 0.0000 0.2177 0.7500
O1 O 0.0881 0.2700 0.0676
O2 O 0.1216 0.4605 0.4543
O3 O 0.1329 0.0918 0.6874

=====

# SrAlRu2O8 | Alexandria | GGA-PBE | optimized geometry
# energy relative to the elements, uncorrected: -1480 meV per atom
# theoretical density: 4.230 Mg/m³
# calculated total energy: -81.41 eV per cell
data_SrAlRu2O8
_chemical_formula_sum 'Sr1 Al1 Ru2 O8'
_cell_length_a 5.3818
_cell_length_b 5.3818
_cell_length_c 6.9601
_cell_angle_alpha 90.00
_cell_angle_beta 90.00
_cell_angle_gamma 120.00
_symmetry_space_group_name_H-M 'P -3'
_symmetry_Int_Tables_number 147
loop_
_symmetry_equiv_pos_as_xyz
'x,y,z'
'-x,-y,-z'
'-y,x-y,z'
'y,-x+y,-z'
'-x+y,-x,z'
'x-y,x,-z'
loop_
_atom_site_label
_atom_site_type_symbol
_atom_site_fract_x
_atom_site_fract_y
_atom_site_fract_z
Sr1 Sr 0.0000 0.0000 0.0000
Al1 Al 0.0000 0.0000 0.5000
Ru1 Ru 0.3333 0.6667 0.7235
O1 O 0.0535 0.2981 0.6715
O2 O 0.3333 0.6667 0.9812

=====

# Sr2AlRuO6 | Alexandria | GGA-PBE | optimized geometry
# energy relative to the elements, uncorrected: -2254 meV per atom
# theoretical density: 5.310 Mg/m³
# calculated total energy: -412.04 eV per cell
data_Sr2AlRuO6
_chemical_formula_sum 'Sr12 Al6 Ru6 O36'
_cell_length_a 5.5733
_cell_length_b 5.5733
_cell_length_c 27.8503
_cell_angle_alpha 90.00
_cell_angle_beta 90.00
_cell_angle_gamma 120.00
_symmetry_space_group_name_H-M 'R -3 m'
_symmetry_Int_Tables_number 166
_symmetry_space_group_name_Hall '-R 3 2"'
loop_
_atom_site_label
_atom_site_type_symbol
_atom_site_fract_x
_atom_site_fract_y
_atom_site_fract_z
Sr1 Sr 0.0000 0.0000 0.1296
Sr2 Sr 0.0000 0.0000 0.2832
Al1 Al 0.0000 0.0000 0.0000
Al2 Al 0.0000 0.0000 0.5000
Ru1 Ru 0.0000 0.0000 0.4089
O1 O 0.0099 0.5050 0.7059
O2 O 0.0218 0.5109 0.1238

=====

# AlTlRu2O8 | Alexandria | GGA-PBE | optimized geometry
# energy relative to the elements, uncorrected: -1138 meV per atom
# theoretical density: 4.672 Mg/m³
# calculated total energy: -155.97 eV per cell
data_AlTlRu2O8
_chemical_formula_sum 'Al2 Tl2 Ru4 O16'
_cell_length_a 8.7714
_cell_length_b 5.6433
_cell_length_c 8.0869
_cell_angle_alpha 90.00
_cell_angle_beta 94.28
_cell_angle_gamma 90.00
_symmetry_space_group_name_H-M 'C 1 2/m 1'
_symmetry_Int_Tables_number 12
loop_
_symmetry_equiv_pos_as_xyz
'x,y,z'
'-x,-y,-z'
'-x,y,-z'
'x,-y,z'
'x+1/2,y+1/2,z'
'-x+1/2,-y+1/2,-z'
'-x+1/2,y+1/2,-z'
'x+1/2,-y+1/2,z'
loop_
_atom_site_label
_atom_site_type_symbol
_atom_site_fract_x
_atom_site_fract_y
_atom_site_fract_z
Al1 Al 0.0000 0.0000 0.0000
Tl1 Tl 0.0000 0.0000 0.5000
Ru1 Ru 0.1283 0.5000 0.8026
O1 O 0.0151 0.2344 0.8291
O2 O 0.1869 0.5000 0.5998
O3 O 0.2151 0.0000 0.0407

=====

Repeat the tenth record exactly.
# Sr2AlRuO6 | Alexandria | GGA-PBE | optimized geometry
# energy relative to the elements, uncorrected: -2254 meV per atom
# theoretical density: 5.310 Mg/m³
# calculated total energy: -412.04 eV per cell
data_Sr2AlRuO6
_chemical_formula_sum 'Sr12 Al6 Ru6 O36'
_cell_length_a 5.5733
_cell_length_b 5.5733
_cell_length_c 27.8503
_cell_angle_alpha 90.00
_cell_angle_beta 90.00
_cell_angle_gamma 120.00
_symmetry_space_group_name_H-M 'R -3 m'
_symmetry_Int_Tables_number 166
_symmetry_space_group_name_Hall '-R 3 2"'
loop_
_atom_site_label
_atom_site_type_symbol
_atom_site_fract_x
_atom_site_fract_y
_atom_site_fract_z
Sr1 Sr 0.0000 0.0000 0.1296
Sr2 Sr 0.0000 0.0000 0.2832
Al1 Al 0.0000 0.0000 0.0000
Al2 Al 0.0000 0.0000 0.5000
Ru1 Ru 0.0000 0.0000 0.4089
O1 O 0.0099 0.5050 0.7059
O2 O 0.0218 0.5109 0.1238

=====

Number 9 is which compound? SrAlRu2O8

=====

What did the tenth record say?
# Sr2AlRuO6 | Alexandria | GGA-PBE | optimized geometry
# energy relative to the elements, uncorrected: -2254 meV per atom
# theoretical density: 5.310 Mg/m³
# calculated total energy: -412.04 eV per cell
data_Sr2AlRuO6
_chemical_formula_sum 'Sr12 Al6 Ru6 O36'
_cell_length_a 5.5733
_cell_length_b 5.5733
_cell_length_c 27.8503
_cell_angle_alpha 90.00
_cell_angle_beta 90.00
_cell_angle_gamma 120.00
_symmetry_space_group_name_H-M 'R -3 m'
_symmetry_Int_Tables_number 166
_symmetry_space_group_name_Hall '-R 3 2"'
loop_
_atom_site_label
_atom_site_type_symbol
_atom_site_fract_x
_atom_site_fract_y
_atom_site_fract_z
Sr1 Sr 0.0000 0.0000 0.1296
Sr2 Sr 0.0000 0.0000 0.2832
Al1 Al 0.0000 0.0000 0.0000
Al2 Al 0.0000 0.0000 0.5000
Ru1 Ru 0.0000 0.0000 0.4089
O1 O 0.0099 0.5050 0.7059
O2 O 0.0218 0.5109 0.1238